1.
The following is a DFT calculation (PBE-GGA) of crystalline YSiMo2 at its relaxed geometry. Values from VASP.

Cell and atoms, written as Quantum ESPRESSO input:
```
&SYSTEM
  ibrav = 0, nat = 4, ntyp = 3
/
ATOMIC_SPECIES
Mo 95.94 Mo.upf
Si 28.09 Si.upf
Y 88.91 Y.upf
CELL_PARAMETERS angstrom
5.436 -0.015 0.000
2.608 4.769 0.000
-4.022 -2.377 2.779
ATOMIC_POSITIONS crystal
Mo 0.500 0.500 0.000
Mo 0.000 0.000 0.000
Si 0.250 0.750 0.500
Y 0.750 0.250 0.500
```

Results
magnetization	0.00	μB/atom
raw formation energy	23.1	kJ per mole of atoms

2.
The following is a DFT calculation (PBE-GGA) of crystalline CaY4Pt5 at its relaxed geometry. Values from VASP.

Cell and atoms, written as Quantum ESPRESSO input:
```
&SYSTEM
  ibrav = 0, nat = 10, ntyp = 3
/
ATOMIC_SPECIES
Y 88.91 Y.upf
Pt 195.08 Pt.upf
Ca 40.08 Ca.upf
CELL_PARAMETERS angstrom
-0.353 -0.166 3.463
3.467 0.031 0.355
-0.245 17.707 0.825
ATOMIC_POSITIONS crystal
Y 0.000 0.000 0.401
Y 0.000 0.000 0.599
Y 0.000 0.000 0.200
Y 0.000 0.000 0.800
Pt 0.500 0.500 0.109
Pt 0.500 0.500 0.891
Pt 0.500 0.500 0.500
Pt 0.500 0.500 0.698
Pt 0.500 0.500 0.302
Ca 0.000 0.000 0.000
```

Results
DFT formation energy	-1155	meV/atom
magnetization	0.00	μB/atom

3.
The following is a DFT calculation (PBE-GGA) of crystalline LiFeTe at its relaxed geometry. Values from VASP.

Cell and atoms, written as Quantum ESPRESSO input:
```
&SYSTEM
  ibrav = 0, nat = 3, ntyp = 3
/
ATOMIC_SPECIES
Fe 55.84 Fe.upf
Te 127.60 Te.upf
Li 6.94 Li.upf
CELL_PARAMETERS angstrom
4.403 0.000 0.000
2.202 3.813 0.000
2.202 1.271 3.595
ATOMIC_POSITIONS crystal
Fe 0.000 0.000 0.000
Te 0.750 0.750 0.750
Li 0.500 0.500 0.500
```

Results
energy relative to the lowest polymorph listed for this composition	0.53	eV per formula unit
magnetization	0.99	μB/atom
raw formation energy	-8.8	kJ per mole of atoms

4.
The following is a DFT calculation (PBE-GGA) of crystalline KTc2Te at its relaxed geometry. Values from VASP.

Cell and atoms, written as Quantum ESPRESSO input:
```
&SYSTEM
  ibrav = 0, nat = 4, ntyp = 3
/
ATOMIC_SPECIES
Te 127.60 Te.upf
Tc 98.00 Tc.upf
K 39.10 K.upf
CELL_PARAMETERS angstrom
-4.755 0.651 -0.334
-0.621 -2.373 4.139
2.967 3.783 -0.186
ATOMIC_POSITIONS crystal
Te 0.500 0.500 0.000
Tc 0.000 0.000 0.000
Tc 0.250 0.750 0.500
K 0.750 0.250 0.500
```

Results
magnetization	0.49	μB/atom
raw formation energy	99.8	kJ per mole of atoms

5.
The following is a DFT calculation (PBE-GGA) of crystalline Tb2PmDy2Sc2 at its relaxed geometry. Values from VASP.

Cell and atoms, written as Quantum ESPRESSO input:
```
&SYSTEM
  ibrav = 0, nat = 7, ntyp = 4
/
ATOMIC_SPECIES
Tb 158.93 Tb.upf
Sc 44.96 Sc.upf
Dy 162.50 Dy.upf
Pm 145.00 Pm.upf
CELL_PARAMETERS angstrom
-2.404 1.109 2.126
5.155 -4.541 5.488
2.267 7.750 -1.481
ATOMIC_POSITIONS crystal
Tb 0.428 0.855 0.084
Tb 0.572 0.145 0.916
Sc 0.349 0.698 0.608
Sc 0.651 0.302 0.392
Dy 0.213 0.425 0.790
Dy 0.787 0.575 0.210
Pm 0.000 0.000 0.500
```

Results
DFT formation energy	184	meV/atom
magnetization	0.00	μB/atom

6.
The following is a DFT calculation (PBE-GGA) of crystalline Dy5Sb4O at its relaxed geometry. Values from VASP.

Cell and atoms, written as Quantum ESPRESSO input:
```
&SYSTEM
  ibrav = 0, nat = 10, ntyp = 3
/
ATOMIC_SPECIES
Dy 162.50 Dy.upf
Sb 121.76 Sb.upf
O 16.00 O.upf
CELL_PARAMETERS angstrom
6.170 0.000 0.000
3.085 6.653 0.000
3.085 0.000 6.653
ATOMIC_POSITIONS crystal
Dy 0.102 0.627 0.176
Dy 0.905 0.373 0.824
Dy 0.729 0.176 0.373
Dy 0.278 0.824 0.627
Dy 0.413 0.000 0.000
Sb 0.415 0.393 0.786
Sb 0.593 0.607 0.214
Sb 0.201 0.214 0.393
Sb 0.808 0.786 0.607
O 0.065 0.000 0.000
```

Results
magnetization	0.00	μB/atom
raw formation energy	-127.9	kJ per mole of atoms